First-principles (PBE-GGA) data for a geometry-optimized Te2RhWN structure, as listed in the Alexandria database.

```
Te2RhWN
1.0
-1.835 -0.892 4.954
-4.775 -1.360 -2.013
1.117 -3.581 -0.231
Te W Rh N
2 1 1 1
Direct
0.000 0.500 0.000
0.500 0.000 0.000
0.000 0.000 0.000
0.500 0.500 0.500
0.000 0.000 0.500
```

Output
Magnetization in μB/f.u.: 0.0
E_form (uncorrected) in eV/f.u.: 3.08
ΔE to the lowest computed polymorph in kJ per mole of atoms: 0.0